Here is Zn3Sn2O7 after structural relaxation from Alexandria. Energies are from PBEsol.

CIF file:
```
data_Zn3Sn2O7
_chemical_formula_sum 'Zn12 Sn8 O28'
_cell_length_a 18.802
_cell_length_b 5.349
_cell_length_c 5.316
_cell_angle_alpha 90.00
_cell_angle_beta 90.00
_cell_angle_gamma 90.00
_space_group_name_H-M_alt 'C m c 21'
_space_group_IT_number 36
_space_group_name_Hall 'C 2c -2'
loop_
_atom_site_label
_atom_site_fract_x
_atom_site_fract_y
_atom_site_fract_z
Zn1 0.000 0.245 0.000
Zn2 0.204 0.277 0.066
Sn1 0.104 0.247 0.530
O1 0.000 0.120 0.628
O2 0.074 0.418 0.201
O3 0.136 0.083 0.857
O4 0.206 0.370 0.437
```

Summary:
As for the total magnetization: 0.000 μB/cell. Its formation energy without anion corrections is -1.515 eV per atom.